No. 1
Here is crystalline TaTcW2 at its relaxed geometry from the Open Quantum Materials Database. Energies are from PBE.

```
TaTcW2
1.0
2.195 -1.224 3.733
-2.248 -1.868 3.422
0.566 -4.362 0.949
Tc W Ta
1 2 1
Direct
0.000 0.000 0.000
0.500 0.500 0.500
0.250 0.250 0.250
0.750 0.750 0.750
```

Values from the calculation:
space-group type	F-43m (216)
raw total energy	-48.72	eV/cell
total magnetization	0.000	μB/atom
energy of formation	-0.15	eV per atom

---

No. 2
Here is crystalline Ta2BiMo at its relaxed geometry from the Open Quantum Materials Database. Energies are from PBE.

```
Ta2BiMo
1.0
0.000 3.362 3.362
3.362 0.000 3.362
3.362 3.362 0.000
Ta Bi Mo
2 1 1
Direct
0.000 0.000 0.000
0.750 0.750 0.750
0.500 0.500 0.500
0.250 0.250 0.250
```

Values from the calculation:
space-group type	F-43m (216)
raw total energy	-36.58	eV/cell
total magnetization	0.016	μB/atom

---

No. 3
Here is crystalline Gd2DyCd3Au3 at its relaxed geometry from the Open Quantum Materials Database. Energies are from PBE.

```
Gd2DyCd3Au3
1.0
3.929 0.000 0.000
0.000 6.761 3.913
0.000 -6.761 3.913
Gd Au Dy Cd
2 3 1 3
Direct
0.000 0.000 0.404
0.000 0.404 0.000
0.500 0.666 0.335
0.000 0.999 0.999
0.500 0.335 0.666
0.000 0.596 0.596
0.500 0.738 0.000
0.500 0.000 0.738
0.500 0.262 0.262
```

Values from the calculation:
space-group type	Amm2 (38)
raw total energy	-32.41	eV/cell
total magnetization	0.001	μB/atom
energy of formation	-0.67	eV per atom

---

No. 4
Here is crystalline LuFePb2 at its relaxed geometry from the Open Quantum Materials Database. Energies are from PBE.

```
LuFePb2
1.0
0.000 3.589 3.589
3.589 0.000 3.589
3.589 3.589 0.000
Fe Pb Lu
1 2 1
Direct
0.500 0.500 0.500
0.000 0.000 0.000
0.750 0.750 0.750
0.250 0.250 0.250
```

Values from the calculation:
space-group type	F-43m (216)
raw total energy	-18.86	eV/cell
total magnetization	0.472	μB/atom

---

No. 5
Here is crystalline LiNbZn at its relaxed geometry from the Open Quantum Materials Database. Energies are from PBE.

```
LiNbZn
1.0
0.000 2.870 2.870
2.870 0.000 2.870
2.870 2.870 0.000
Li Nb Zn
1 1 1
Direct
0.000 0.000 0.000
0.250 0.250 0.250
0.750 0.750 0.750
```

Values from the calculation:
polymorph energy (0 for the lowest one)	0.0	meV/atom
space-group type	F-43m (216)
raw total energy	-11.15	eV/cell
total magnetization	0.000	μB/atom

---

No. 6
Here is crystalline NdBiPO5 at its relaxed geometry from the Open Quantum Materials Database. Energies are from PBE.

```
NdBiPO5
1.0
-2.135 0.695 5.311
-2.518 -5.850 -1.859
6.645 -1.778 0.512
O Bi Nd P
10 2 2 2
Direct
0.213 0.102 0.471
0.787 0.898 0.529
0.094 0.456 0.759
0.582 0.180 0.167
0.418 0.820 0.833
0.586 0.350 0.872
0.414 0.650 0.128
0.950 0.199 0.048
0.050 0.801 0.952
0.906 0.544 0.241
0.591 0.298 0.525
0.409 0.702 0.475
0.845 0.891 0.202
0.155 0.109 0.798
0.235 0.674 0.916
0.765 0.326 0.084
```

Values from the calculation:
space-group type	P-1 (2)
raw total energy	-116.23	eV/cell
total magnetization	0.000	μB/atom